(1)
Material: Y2Co2Si
Method: DFT, PBE
State: relaxed

Values from the calculation:
raw formation energy = -0.159 eV/atom
SG = I4/mmm (139)
energy above the most stable polymorph in this dataset = 348.9 meV per atom
electronic total energy = -33.4 eV for the cell shown

Cell and atoms, written as POSCAR:
```
Y2Co2Si
1.0
-2.656 2.656 3.446
2.656 -2.656 3.446
2.656 2.656 -3.446
Y Co Si
2 2 1
direct
0.250 0.750 0.500
0.750 0.250 0.500
0.176 0.176 0.000
0.824 0.824 0.000
0.500 0.500 0.000
```

---

(2)
Material: PmYAl
Method: DFT, PBE
State: relaxed

Values from the calculation:
SG = P3m1 (156)
energy above the most stable polymorph in this dataset = 103.4 meV per atom
calculated formation energy = -0.1507 eV per atom
electronic total energy = -15.4 eV for the cell shown

Cell and atoms, written as POSCAR:
```
PmYAl
1.0
5.115 0.000 0.000
-2.558 4.430 0.000
0.000 0.000 3.649
Pm Y Al
1 1 1
direct
0.000 0.000 0.000
0.667 0.333 0.561
0.333 0.667 0.314
```

---

(3)
Material: AlAsPtSe2
Method: DFT, PBE
State: relaxed

Values from the calculation:
raw formation energy = 0.646 eV/atom
SG = P4/mmm (123)
energy above the most stable polymorph in this dataset = 176.0 meV per atom
electronic total energy = -18.2 eV for the cell shown

Cell and atoms, written as POSCAR:
```
AlAsPtSe2
1.0
4.755 0.000 0.000
0.000 4.755 0.000
0.000 0.000 4.792
Al As Pt Se
1 1 1 2
direct
0.000 0.000 0.000
0.000 0.000 0.500
0.500 0.500 0.500
0.000 0.500 0.000
0.500 0.000 0.000
```

---

(4)
Material: AcGdPd2
Method: DFT, PBE
State: relaxed

Values from the calculation:
SG = R-3m (166)
energy above the most stable polymorph in this dataset = 5.2 meV per atom
calculated formation energy = -0.7457 eV per atom
electronic total energy = -31.6 eV for the cell shown

Cell and atoms, written as POSCAR:
```
AcGdPd2
1.0
2.150 1.241 6.859
-2.150 1.241 6.859
0.000 -2.483 6.859
Ac Gd Pd
1 1 2
direct
0.000 0.000 0.000
0.500 0.500 0.500
0.243 0.243 0.243
0.757 0.757 0.757
```

---

(5)
Material: SrCa2ZnCl8
Method: DFT, PBE
State: relaxed

Values from the calculation:
raw formation energy = -2.047 eV/atom
SG = P2/m (10)
electronic total energy = -46.3 eV for the cell shown

Cell and atoms, written as POSCAR:
```
SrCa2ZnCl8
1.0
6.321 0.000 0.000
0.000 8.285 0.000
-0.096 0.000 6.460
Sr Ca Zn Cl
1 2 1 8
direct
0.000 0.000 0.000
0.500 0.264 0.500
0.500 0.736 0.500
0.000 0.500 0.000
0.207 0.284 0.174
0.207 0.716 0.174
0.273 0.500 0.694
0.294 0.000 0.665
0.706 0.000 0.335
0.727 0.500 0.306
0.793 0.284 0.826
0.793 0.716 0.826
```

---

(6)
Material: Ca3VCd
Method: DFT, PBE
State: relaxed

Values from the calculation:
SG = Pm-3m (221)
energy above the most stable polymorph in this dataset = 57.0 meV per atom
calculated formation energy = 0.6606 eV per atom
electronic total energy = -12.7 eV for the cell shown

Cell and atoms, written as POSCAR:
```
Ca3VCd
1.0
5.804 0.000 0.000
0.000 5.804 0.000
0.000 0.000 5.804
Ca V Cd
3 1 1
direct
0.000 0.000 0.500
0.000 0.500 0.000
0.500 0.000 0.000
0.500 0.500 0.500
0.000 0.000 0.000
```

---

(7)
Material: ReRh2Se
Method: DFT, PBE
State: relaxed

Values from the calculation:
raw formation energy = 0.093 eV/atom
SG = R-3m (166)
electronic total energy = -30.3 eV for the cell shown

Cell and atoms, written as POSCAR:
```
ReRh2Se
1.0
1.416 0.818 8.644
-1.416 0.818 8.644
0.000 -1.635 8.644
Re Rh Se
1 2 1
direct
0.000 0.000 0.000
0.250 0.250 0.250
0.750 0.750 0.750
0.500 0.500 0.500
```

---

(8)
Material: Sr20Ta8O39
Method: DFT, PBE
State: relaxed

Values from the calculation:
raw formation energy = -2.930 eV/atom
SG = P1 (1)
electronic total energy = -518.2 eV for the cell shown

Cell and atoms, written as POSCAR:
```
Sr20Ta8O39
1.0
5.951 0.000 0.000
-2.963 5.192 0.000
-0.035 -2.310 33.491
Sr Ta O
20 8 39
direct
0.000 0.000 0.000
0.005 0.031 0.111
0.030 0.104 0.312
0.136 0.304 0.527
0.143 0.273 0.422
0.218 0.468 0.766
0.257 0.499 0.871
0.311 0.663 0.980
0.350 0.728 0.184
0.386 0.768 0.294
0.452 0.939 0.404
0.475 0.975 0.601
0.566 0.157 0.815
0.572 0.129 0.710
0.654 0.345 0.050
0.694 0.420 0.242
0.795 0.616 0.478
0.830 0.643 0.583
0.886 0.796 0.692
0.900 0.833 0.889
0.024 0.072 0.214
0.261 0.386 0.646
0.329 0.689 0.079
0.469 0.961 0.502
0.679 0.377 0.146
0.686 0.249 0.934
0.823 0.524 0.358
0.895 0.811 0.791
0.011 0.574 0.115
0.019 0.250 0.934
0.042 0.900 0.375
0.062 0.311 0.693
0.100 0.380 0.042
0.107 0.009 0.631
0.130 0.127 0.825
0.133 0.876 0.248
0.138 0.462 0.600
0.153 0.521 0.359
0.161 0.751 0.534
0.191 0.880 0.753
0.214 0.897 0.050
0.239 0.025 0.466
0.242 0.392 0.249
0.348 0.180 0.179
0.388 0.645 0.467
0.462 0.486 0.112
0.479 0.165 0.980
0.484 0.763 0.662
0.528 0.872 0.918
0.546 0.278 0.538
0.555 0.027 0.114
0.577 0.336 0.888
0.594 0.386 0.646
0.602 0.748 0.826
0.622 0.769 0.042
0.627 0.439 0.405
0.655 0.496 0.755
0.662 0.149 0.340
0.697 0.892 0.540
0.703 0.609 0.312
0.721 0.997 0.247
0.779 0.172 0.468
0.797 0.022 0.758
0.806 0.726 0.180
0.899 0.271 0.180
0.899 0.622 0.953
0.993 0.599 0.824
```

---

(9)
Material: Sm3TmBi4
Method: DFT, PBE
State: relaxed

Values from the calculation:
SG = Cmmm (65)
calculated formation energy = -0.8858 eV per atom
electronic total energy = -41.2 eV for the cell shown

Cell and atoms, written as POSCAR:
```
Sm3TmBi4
1.0
4.528 -6.404 0.000
4.528 6.404 0.000
0.000 0.000 4.530
Sm Tm Bi
3 1 4
direct
0.000 0.000 0.000
0.000 0.500 0.500
0.500 0.000 0.500
0.500 0.500 0.000
0.253 0.747 0.000
0.256 0.256 0.500
0.744 0.744 0.500
0.747 0.253 0.000
```

---

(10)
Material: YTl2Ga
Method: DFT, PBE
State: relaxed

Values from the calculation:
SG = R-3m (166)
energy above the most stable polymorph in this dataset = 434.1 meV per atom
calculated formation energy = 0.1435 eV per atom
electronic total energy = -13.6 eV for the cell shown

Cell and atoms, written as POSCAR:
```
YTl2Ga
1.0
1.743 1.006 11.079
-1.743 1.006 11.079
0.000 -2.012 11.079
Y Tl Ga
1 2 1
direct
0.000 0.000 0.000
0.094 0.094 0.094
0.906 0.906 0.906
0.500 0.500 0.500
```

---

(11)
Material: ScCd2Ni2
Method: DFT, PBE
State: relaxed

Values from the calculation:
SG = P4/mbm (127)
energy above the most stable polymorph in this dataset = 0.0 meV per atom
calculated formation energy = -0.1550 eV per atom
electronic total energy = -41.0 eV for the cell shown

Cell and atoms, written as POSCAR:
```
ScCd2Ni2
1.0
6.642 0.000 0.000
0.000 6.642 0.000
0.000 0.000 3.884
Sc Cd Ni
2 4 4
direct
0.000 0.000 0.000
0.500 0.500 0.000
0.167 0.333 0.500
0.333 0.833 0.500
0.667 0.167 0.500
0.833 0.667 0.500
0.129 0.629 0.000
0.371 0.129 0.000
0.629 0.871 0.000
0.871 0.371 0.000
```

---

(12)
Material: NaTi3Tl
Method: DFT, PBE
State: relaxed

Values from the calculation:
SG = Pm-3m (221)
energy above the most stable polymorph in this dataset = 0.0 meV per atom
calculated formation energy = 1.2267 eV per atom
electronic total energy = -21.2 eV for the cell shown

Cell and atoms, written as POSCAR:
```
NaTi3Tl
1.0
5.275 0.000 0.000
0.000 5.275 0.000
0.000 0.000 5.275
Na Ti Tl
1 3 1
direct
0.000 0.000 0.000
0.000 0.500 0.500
0.500 0.000 0.500
0.500 0.500 0.000
0.500 0.500 0.500
```

---

(13)
Material: CsB5O8
Method: DFT, PBE
State: relaxed

Values from the calculation:
raw formation energy = -2.434 eV/atom
SG = P2_1/c (14)
energy above the most stable polymorph in this dataset = 9.6 meV per atom
electronic total energy = -431.9 eV for the cell shown

Cell and atoms, written as POSCAR:
```
CsB5O8
1.0
7.168 0.000 0.000
0.000 10.210 0.000
-5.643 0.000 10.531
Cs B O
4 20 32
direct
0.192 0.004 0.266
0.192 0.496 0.766
0.808 0.504 0.234
0.808 0.996 0.734
0.039 0.738 0.008
0.039 0.762 0.508
0.226 0.090 0.640
0.226 0.410 0.140
0.330 0.235 0.036
0.330 0.265 0.536
0.363 0.703 0.500
0.363 0.797 0.000
0.372 0.592 0.324
0.372 0.908 0.824
0.628 0.092 0.176
0.628 0.408 0.676
0.637 0.203 0.000
0.637 0.297 0.500
0.670 0.735 0.464
0.670 0.765 0.964
0.774 0.590 0.860
0.774 0.910 0.360
0.961 0.238 0.492
0.961 0.262 0.992
0.020 0.142 0.585
0.020 0.358 0.085
0.101 0.210 0.958
0.101 0.290 0.458
0.249 0.722 0.565
0.249 0.778 0.065
0.257 0.638 0.383
0.257 0.862 0.883
0.260 0.513 0.221
0.260 0.987 0.721
0.370 0.139 0.608
0.370 0.361 0.108
0.422 0.127 0.131
0.422 0.373 0.631
0.434 0.243 0.954
0.434 0.257 0.454
0.566 0.743 0.546
0.566 0.757 0.046
0.578 0.627 0.369
0.578 0.873 0.869
0.630 0.639 0.892
0.630 0.861 0.392
0.740 0.013 0.279
0.740 0.487 0.779
0.743 0.138 0.117
0.743 0.362 0.617
0.751 0.222 0.935
0.751 0.278 0.435
0.899 0.710 0.542
0.899 0.790 0.042
0.980 0.642 0.915
0.980 0.858 0.415
```

---

(14)
Material: Sr2YZrSe
Method: DFT, PBE
State: relaxed

Values from the calculation:
raw formation energy = 0.638 eV/atom
SG = P4/mmm (123)
electronic total energy = -18.7 eV for the cell shown

Cell and atoms, written as POSCAR:
```
Sr2YZrSe
1.0
6.577 0.000 0.000
0.000 6.577 0.000
0.000 0.000 5.188
Sr Y Zr Se
2 1 1 1
direct
0.000 0.500 0.000
0.500 0.000 0.000
0.000 0.000 0.000
0.500 0.500 0.500
0.000 0.000 0.500
```

---

(15)
Material: SiSn2RhSe
Method: DFT, PBE
State: relaxed

Values from the calculation:
raw formation energy = 0.397 eV/atom
SG = P4/mmm (123)
electronic total energy = -22.3 eV for the cell shown

Cell and atoms, written as POSCAR:
```
SiSn2RhSe
1.0
5.274 0.000 0.000
0.000 5.274 0.000
0.000 0.000 4.439
Si Sn Rh Se
1 2 1 1
direct
0.000 0.000 0.000
0.000 0.500 0.000
0.500 0.000 0.000
0.000 0.000 0.500
0.500 0.500 0.500
```

---

(16)
Material: DyHoZn2
Method: DFT, PBE
State: relaxed

Values from the calculation:
SG = Fm-3m (225)
calculated formation energy = -0.3438 eV per atom
electronic total energy = -13.1 eV for the cell shown

Cell and atoms, written as POSCAR:
```
DyHoZn2
1.0
0.000 3.562 3.562
3.562 0.000 3.562
3.562 3.562 0.000
Dy Ho Zn
1 1 2
direct
0.000 0.000 0.000
0.500 0.500 0.500
0.250 0.250 0.250
0.750 0.750 0.750
```

---

(17)
Material: ThScFe4
Method: DFT, PBE
State: relaxed

Values from the calculation:
SG = F-43m (216)
calculated formation energy = -0.1460 eV per atom
electronic total energy = -48.5 eV for the cell shown

Cell and atoms, written as POSCAR:
```
ThScFe4
1.0
0.000 3.608 3.608
3.608 0.000 3.608
3.608 3.608 0.000
Th Sc Fe
1 1 4
direct
0.000 0.000 0.000
0.750 0.750 0.750
0.376 0.376 0.376
0.376 0.376 0.873
0.376 0.873 0.376
0.873 0.376 0.376
```

---

(18)
Material: GaOs3Au
Method: DFT, PBE
State: relaxed

Values from the calculation:
SG = Pm-3m (221)
energy above the most stable polymorph in this dataset = 873.7 meV per atom
calculated formation energy = 2.8726 eV per atom
electronic total energy = -25.6 eV for the cell shown

Cell and atoms, written as POSCAR:
```
GaOs3Au
1.0
4.876 0.000 0.000
0.000 4.876 0.000
0.000 0.000 4.876
Ga Os Au
1 3 1
direct
0.000 0.000 0.000
0.000 0.500 0.500
0.500 0.000 0.500
0.500 0.500 0.000
0.500 0.500 0.500
```

---

(19)
Material: EuMgGa3
Method: DFT, PBE
State: relaxed

Values from the calculation:
SG = F222 (22)
calculated formation energy = -0.4325 eV per atom
electronic total energy = -23.1 eV for the cell shown

Cell and atoms, written as POSCAR:
```
EuMgGa3
1.0
0.000 3.073 5.723
3.066 0.000 5.723
3.066 3.073 0.000
Eu Mg Ga
1 1 3
direct
0.000 0.000 0.000
0.750 0.750 0.750
0.250 0.250 0.250
0.391 0.391 0.609
0.609 0.609 0.391
```

---

(20)
Material: Ac2NiGePd6
Method: DFT, PBE
State: relaxed

Values from the calculation:
SG = C2/m (12)
calculated formation energy = -0.6320 eV per atom
electronic total energy = -56.1 eV for the cell shown

Cell and atoms, written as POSCAR:
```
Ac2NiGePd6
1.0
6.055 -2.776 0.000
6.055 2.776 0.000
-5.731 0.000 6.216
Ac Ni Ge Pd
2 1 1 6
direct
0.236 0.236 0.203
0.764 0.764 0.797
0.500 0.500 0.000
0.000 0.000 0.500
0.252 0.252 0.608
0.255 0.745 0.257
0.255 0.745 0.743
0.745 0.255 0.257
0.745 0.255 0.743
0.748 0.748 0.392
```

---

(21)
Material: LiBPd3
Method: DFT, PBE
State: relaxed

Values from the calculation:
SG = P2/c (13)
calculated formation energy = -0.2606 eV per atom
electronic total energy = -101.9 eV for the cell shown

Cell and atoms, written as POSCAR:
```
LiBPd3
1.0
5.538 0.000 0.000
0.000 4.965 0.000
-0.148 0.000 10.053
Li B Pd
4 4 12
direct
0.238 0.019 0.199
0.238 0.981 0.699
0.762 0.019 0.301
0.762 0.981 0.801
0.423 0.347 0.883
0.423 0.653 0.383
0.577 0.347 0.617
0.577 0.653 0.117
0.104 0.246 0.961
0.104 0.754 0.461
0.251 0.477 0.708
0.251 0.523 0.208
0.380 0.237 0.449
0.380 0.763 0.949
0.620 0.237 0.051
0.620 0.763 0.551
0.749 0.477 0.792
0.749 0.523 0.292
0.896 0.246 0.539
0.896 0.754 0.039
```